## Li4CeMg (GGA-PBE)

Data for Li4CeMg after structural relaxation.

Values from the calculation:
Total magnetic moment, μB/f.u.: 0.96
D(E_F), states/eV/cell: 8.8
VASP energy, eV/atom: -2.44

abc: 5.7100 5.7100 5.7100
angles: 60.00 60.00 60.00
Last column: nearest neighbours and their distance in Å.
Sites, in units of the cell vectors:
Ce 0.2500 0.2500 0.2500  12 Li 3.35, 4 Mg 3.50
Li 0.6270 0.6270 0.1190  6 Li 2.81-2.90
Li 0.1190 0.6270 0.6270  6 Li 2.81-2.90
Li 0.6270 0.1190 0.6270  6 Li 2.81-2.90
Li 0.6270 0.6270 0.6270  6 Li 2.81-2.90
Mg 0.0000 0.0000 0.0000  12 Li 3.34, 4 Ce 3.50